Entry 1:
VASP calculation (PBE) on an optimized crystal structure of Rb4Zr3NiS8.

abc: 7.622 8.814 7.631
angles: 115.71 119.96 90.00
Positions (direct):
Rb 0.500 0.000 0.000
Rb 0.500 0.000 0.500
Rb 0.000 0.000 0.000
Rb 0.000 0.000 0.500
Zr 0.500 0.500 0.000
Zr 0.500 0.500 0.500
Zr 0.000 0.500 0.500
Ni 0.000 0.500 0.000
S 0.225 0.682 0.957
S 0.226 0.682 0.451
S 0.269 0.308 0.539
S 0.731 0.682 0.957
S 0.269 0.318 0.043
S 0.731 0.692 0.461
S 0.774 0.318 0.549
S 0.775 0.318 0.043

Calculated values
The calculation puts the total magnetization at 1.4 μB/cell. For the energy relative to the elements, uncorrected, the calculation gives -1.241 eV per atom.


Entry 2:
VASP calculation (PBE) on an optimized crystal structure of Y2BPbW.

abc: 4.958 4.569 4.958
angles: 90.00 90.00 90.00
Positions (direct):
Pb 0.000 0.500 0.000
Y 0.000 0.000 0.500
Y 0.500 0.000 0.000
B 0.000 0.000 0.000
W 0.500 0.500 0.500

Calculated values
The calculation puts the total magnetization at 1.1 μB/cell. The formation energy is 76.28 kJ per mole of atoms.


Entry 3:
VASP calculation (PBE) on an optimized crystal structure of SrAgW3.

abc: 4.786 4.786 4.786
angles: 90.00 90.00 90.00
Positions (direct):
Sr 0.000 0.000 0.000
Ag 0.500 0.500 0.500
W 0.000 0.500 0.000
W 0.000 0.000 0.500
W 0.500 0.000 0.000

Calculated values
As for the polymorph energy (0 for the lowest one): 5.33 eV/f.u. The calculation puts the total magnetization at 0.0 μB/cell. The formation energy is 350.90 kJ per mole of atoms.


Entry 4:
VASP calculation (PBE) on an optimized crystal structure of LaTl2Ir.

abc: 7.090 7.090 4.557
angles: 71.28 71.28 30.11
Positions (direct):
Ir 0.750 0.750 0.750
La 0.250 0.250 0.250
Tl 0.056 0.056 0.943
Tl 0.444 0.444 0.557

Calculated values
The calculation puts the total magnetization at 0.0 μB/cell. The formation energy is -16.72 kJ per mole of atoms.


Entry 5:
VASP calculation (PBE) on an optimized crystal structure of KGa2Cl6.

abc: 7.890 9.663 9.663
angles: 82.96 73.29 73.29
Positions (direct):
K 0.250 0.133 0.867
K 0.750 0.867 0.133
Ga 0.289 0.630 0.797
Ga 0.211 0.203 0.370
Ga 0.711 0.370 0.203
Ga 0.789 0.797 0.630
Cl 0.580 0.654 0.651
Cl 0.920 0.349 0.346
Cl 0.420 0.346 0.349
Cl 0.080 0.651 0.654
Cl 0.814 0.930 0.423
Cl 0.686 0.577 0.070
Cl 0.186 0.070 0.577
Cl 0.314 0.423 0.930
Cl 0.172 0.813 0.947
Cl 0.328 0.053 0.187
Cl 0.828 0.187 0.053
Cl 0.672 0.947 0.813

Calculated values
The calculation puts the total magnetization at 0.0 μB/cell. For the energy relative to the elements, uncorrected, the calculation gives -1.197 eV per atom.


Entry 6:
VASP calculation (PBE) on an optimized crystal structure of LaCoS3.

abc: 5.467 5.467 5.467
angles: 90.00 90.00 90.00
Positions (direct):
S 0.000 0.500 0.000
S 0.000 0.000 0.500
S 0.500 0.000 0.000
Co 0.500 0.500 0.500
La 0.000 0.000 0.000

Calculated values
The calculation puts the total magnetization at 4.0 μB/cell. For the energy relative to the elements, uncorrected, the calculation gives 0.364 eV per atom.


Number 1: total energy -5.51 eV per atom, mass density 4.0 g cm⁻³. Number 2: total energy -6.46 eV per atom, mass density 8.6 g cm⁻³. Number 3: total energy -5.04 eV per atom, mass density 11.3 g cm⁻³. Number 4: total energy -4.80 eV per atom, mass density 11.3 g cm⁻³. Number 5: total energy -3.22 eV per atom, mass density 1.9 g cm⁻³. Number 6: total energy -4.52 eV per atom, mass density 3.0 g cm⁻³.